TbCeTl2: optimized geometry, PBE.

Cell lengths 3.5576, 3.5576, 8.8865 Å; angles 90.00, 90.00, 90.00 degrees
Closest atoms and distances in Å follow each position.
Space group P4/mmm (No. 123)
Inequivalent atoms, fractional coordinates:
Tb (0.0000, 0.0000, 0.0000) x1  8 Tl 3.32, 4 Tb 3.56
Ce (0.0000, 0.0000, 0.5000) x1  8 Tl 3.39, 4 Ce 3.56
Tl (0.5000, 0.5000, 0.2442) x2  4 Tb 3.32, 4 Ce 3.39, 4 Tl 3.56

Theoretical density ... 10450 kg/m³
Calculated total energy ... -4.12 eV/atom
Total magnetic moment ... 1.12 μB/f.u.